Here is a geometry-optimized U3Tl4CdTe8 structure from the Alexandria database. Energies are from GGA-PBE.

Lattice parameters (Å, degrees): 9.704 9.704 9.704 54.47 54.47 54.47
Fractional coordinates of all 16 atoms:
U: 0.000 0.500 0.500
U: 0.500 0.000 0.500
U: 0.500 0.500 0.000
Tl: 0.000 0.000 0.500
Tl: 0.000 0.500 0.000
Tl: 0.500 0.000 0.000
Tl: 0.500 0.500 0.500
Cd: 0.000 0.000 0.000
Te: 0.238 0.238 0.738
Te: 0.238 0.738 0.238
Te: 0.261 0.261 0.261
Te: 0.262 0.762 0.762
Te: 0.738 0.238 0.238
Te: 0.739 0.739 0.739
Te: 0.762 0.262 0.762
Te: 0.762 0.762 0.262

Results
Its formation energy from raw total energies is -0.480 eV per atom. The value obtained for the total energy is -77.1 eV/f.u. The calculation puts the total magnetic moment at 7.974 Bohr magnetons per cell. As for the space group: R-3m (166). The mass density comes out at 7.9 g/cm3.